P | TcB3Sb PBE optimized geometry; symmetry = No. 221; density of states at the Fermi level = 0.842 states/eV/atom
1.0
4.1834 0.0000 0.0000
0.0000 4.1834 0.0000
0.0000 0.0000 4.1834
B Sb Tc
3 1 1
Direct
0.0000 0.0000 0.5000
0.5000 0.0000 0.0000
0.0000 0.5000 0.0000
0.5000 0.5000 0.5000
0.0000 0.0000 0.0000

Q | TcB3Sb PBE optimized geometry; symmetry = No. 221; density of states at the Fermi level = 1.689 states/eV/atom
1.0
4.3238 0.0000 0.0000
0.0000 4.3238 0.0000
0.0000 0.0000 4.3238
Sb B Tc
1 3 1
Direct
0.0000 0.0000 0.0000
0.5000 0.0000 0.0000
0.0000 0.0000 0.5000
0.0000 0.5000 0.0000
0.5000 0.5000 0.5000

Which structure above is the least stable one? Q is the least stable one.